[1]
VASP calculation (GGA-PBE) on a geometry-optimized Zn2Ni2Sn structure.

a b c (Å): 6.735 6.735 3.250
angles (deg): 90.00 90.00 90.00
Element x y z (fractional)
Ni1 0.357 0.857 0.000
Ni2 0.857 0.643 0.000
Ni3 0.643 0.143 0.000
Ni4 0.143 0.357 0.000
Zn1 0.147 0.647 0.500
Zn2 0.647 0.853 0.500
Zn3 0.853 0.353 0.500
Zn4 0.353 0.147 0.500
Sn1 0.000 0.000 0.000
Sn2 0.500 0.500 0.000

Output
Formation energy (eV per atom): -0.106
Calculated total energy (eV per atom): -3.729



[2]
VASP calculation (GGA-PBE) on a geometry-optimized Ca7SnP2 structure.

a b c (Å): 4.911 4.911 12.336
angles (deg): 101.48 101.48 90.00
Element x y z (fractional)
Ca1 0.108 0.608 0.215
Ca2 0.392 0.892 0.785
Ca3 0.608 0.108 0.215
Ca4 0.500 0.500 0.000
Ca5 0.750 0.250 0.500
Ca6 0.892 0.392 0.785
Ca7 0.250 0.750 0.500
Sn1 0.000 0.000 0.000
P1 0.678 0.678 0.357
P2 0.322 0.322 0.643

Output
Formation energy (eV per atom): -0.628
Calculated total energy (eV per atom): -3.511



[3]
VASP calculation (GGA-PBE) on a geometry-optimized Rb2BiTe2O6 structure.

a b c (Å): 6.499 5.915 7.656
angles (deg): 110.35 90.00 123.32
Element x y z (fractional)
Rb1 0.697 0.394 0.101
Rb2 0.303 0.606 0.899
Bi1 0.500 0.000 0.500
Te1 0.894 0.788 0.731
Te2 0.106 0.212 0.269
O1 0.752 0.505 0.475
O2 0.209 0.959 0.258
O3 0.251 0.041 0.742
O4 0.791 0.041 0.742
O5 0.749 0.959 0.258
O6 0.248 0.495 0.525

Output
Energy relative to the elements, uncorrected (eV per atom): -1.16
Calculated total energy (eV per atom): -4.960



Question: Look up the calculated total energy of the first one.
Answer: -3.729 eV per atom